Entry 1:
DFT (PBE) results for a relaxed structure of BaNiS.

Space-group type: Cmcm
Uncorrected formation energy: -3.28 eV/f.u.

a = 7.2376 Å, b = 4.5991 Å, c = 4.9145 Å
α = 90.01°, β = 90.01°, γ = 71.47°
Positions (direct):
Ba1 0.9679 0.7007 0.4177
Ni1 0.6929 0.3388 0.6679
Ni2 0.6930 0.3388 0.1679
S1 0.4324 0.4696 0.4176
S2 0.9535 0.2075 0.9178
Ba2 0.4180 0.9764 0.9175

=====

Entry 2:
DFT (PBE) results for a relaxed structure of ZrAgAu2.

Energy relative to the lowest polymorph listed for this composition: 0.57 eV/f.u.
Space-group type: Cm
Energy of formation: -0.251 eV/atom

a = 5.1838 Å, b = 5.1838 Å, c = 4.8723 Å
α = 78.75°, β = 78.75°, γ = 36.60°
Positions (direct):
Au1 0.0019 0.0019 0.0138
Au2 0.7513 0.7513 0.7322
Zr1 0.4951 0.4951 0.5186
Ag1 0.2518 0.2518 0.2354

=====

Entry 3:
DFT (PBE) results for a relaxed structure of Pm5Ir2Br2.

Space-group type: Cmce
Uncorrected formation energy: -8.19 eV/f.u.

a = 8.0159 Å, b = 7.9926 Å, c = 8.9451 Å
α = 116.54°, β = 90.00°, γ = 90.00°
Positions (direct):
Ir1 0.3591 0.1430 0.0000
Ir2 0.6409 0.8570 0.0000
Ir3 0.8591 0.3570 0.0000
Br1 0.5000 0.7091 0.4183
Pm1 0.6538 0.0424 0.7754
Br2 0.5000 0.2909 0.5817
Ir4 0.1409 0.6430 0.0000
Pm2 0.1538 0.4576 0.2246
Pm3 0.0000 0.0000 0.0000
Pm4 0.5000 0.5000 0.0000
Pm5 0.8462 0.5424 0.7754
Pm6 0.3462 0.9576 0.2246
Br3 0.0000 0.7909 0.5817
Pm7 0.8462 0.7670 0.2246
Pm8 0.1538 0.2330 0.7754
Pm9 0.6538 0.2670 0.2246
Br4 0.0000 0.2091 0.4183
Pm10 0.3462 0.7330 0.7754

=====

Entry 4:
DFT (PBE) results for a relaxed structure of K3GaSe3.

Space-group type: C2/m
Uncorrected formation energy: -7.62 eV/f.u.

a = 8.1318 Å, b = 8.1318 Å, c = 7.8999 Å
α = 96.22°, β = 96.22°, γ = 113.54°
Positions (direct):
K1 0.1776 0.8224 0.5000
Se1 0.1045 0.1045 0.8254
Se2 0.1514 0.4437 0.2754
Ga1 0.8280 0.8280 0.8506
Se3 0.4437 0.1514 0.2754
K2 0.6072 0.6072 0.3529
Ga2 0.1720 0.1720 0.1494
K3 0.8224 0.1776 0.5000
Se4 0.5563 0.8486 0.7246
Se5 0.8955 0.8955 0.1746
Se6 0.8486 0.5563 0.7246
K4 0.2412 0.7588 0.0000
K5 0.3928 0.3928 0.6471
K6 0.7588 0.2412 0.0000

=====

Entry 5:
DFT (PBE) results for a relaxed structure of DyHo3Sc.

Energy relative to the lowest polymorph listed for this composition: 0.00 eV/f.u.
Space-group type: P2_1/m
Energy of formation: 0.017 eV/atom

a = 5.5064 Å, b = 6.1542 Å, c = 9.3979 Å
α = 109.19°, β = 90.00°, γ = 90.00°
Positions (direct):
Ho1 0.2500 0.0640 0.7922
Dy1 0.7500 0.7308 0.7983
Sc1 0.2500 0.8689 0.4037
Sc2 0.7500 0.1311 0.5963
Ho2 0.7500 0.5419 0.4029
Ho3 0.2500 0.4581 0.5971
Ho4 0.2500 0.6684 0.0028
Ho5 0.7500 0.3316 0.9972
Ho6 0.7500 0.9360 0.2078
Dy2 0.2500 0.2692 0.2017

=====

Entry 6:
DFT (PBE) results for a relaxed structure of Ba2Cd7.

Space-group type: R-3m
Energy of formation: -0.258 eV/atom

a = 6.3465 Å, b = 6.3465 Å, c = 15.2580 Å
α = 78.00°, β = 78.00°, γ = 60.00°
Positions (direct):
Cd1 0.5000 0.0000 0.0000
Cd2 0.7205 0.7205 0.8385
Ba1 0.8491 0.8491 0.4528
Cd3 0.6115 0.1053 0.6718
Cd4 0.6118 0.6118 0.1646
Cd5 0.2795 0.2795 0.1615
Cd6 0.3882 0.3882 0.8354
Cd7 0.1053 0.6115 0.6718
Ba2 0.0522 0.0522 0.8435
Cd8 0.5000 0.5000 0.0000
Ba3 0.9478 0.9478 0.1565
Cd9 0.3885 0.3885 0.3282
Ba4 0.1509 0.1509 0.5472
Cd10 0.8947 0.3885 0.3282
Cd11 0.5000 0.5000 0.5000
Cd12 0.6115 0.6115 0.6718
Cd13 0.0000 0.5000 0.0000
Cd14 0.3885 0.8947 0.3282

=====

The records above give, respectively, theoretical density values of 4.88, 12.89, 8.22, 3.00, 7.75, 6.82 g cm⁻³.